Record 1
Li2ZrSn2 after structural relaxation, computed with PBE.

a = 7.9120 Å, b = 7.9120 Å, c = 3.1015 Å
α = 90.00°, β = 90.00°, γ = 90.00°
Sites, in units of the cell vectors:
Li (0.1133, 0.3867, 0.0000)
Li (0.3867, 0.8867, 0.0000)
Li (0.6133, 0.1133, 0.0000)
Li (0.8867, 0.6133, 0.0000)
Zr (0.0000, 0.0000, 0.0000)
Zr (0.5000, 0.5000, 0.0000)
Sn (0.1823, 0.6823, 0.5000)
Sn (0.3177, 0.1823, 0.5000)
Sn (0.6823, 0.8177, 0.5000)
Sn (0.8177, 0.3177, 0.5000)

Computed properties:
* V: 194 Å³ per cell
* space group: P4/mbm (127)

***

Record 2
LiZr3Sn after structural relaxation, computed with PBE.

a = 4.7578 Å, b = 4.7578 Å, c = 4.7578 Å
α = 90.00°, β = 90.00°, γ = 90.00°
Sites, in units of the cell vectors:
Li (0.0000, 0.0000, 0.0000)
Zr (0.0000, 0.0000, 0.5000)
Zr (0.0000, 0.5000, 0.0000)
Zr (0.5000, 0.0000, 0.0000)
Sn (0.5000, 0.5000, 0.5000)

Computed properties:
* V: 108 Å³ per cell
* space group: Pm-3m (221)

***

Record 3
LiZr12Sn6 after structural relaxation, computed with PBE.

a = 7.5266 Å, b = 7.5266 Å, c = 7.5266 Å
α = 90.09°, β = 90.09°, γ = 90.09°
Sites, in units of the cell vectors:
Li (0.0000, 0.0000, 0.0000)
Zr (0.0636, 0.1413, 0.3818)
Zr (0.1413, 0.3818, 0.0636)
Zr (0.1963, 0.4789, 0.5574)
Zr (0.3818, 0.0636, 0.1413)
Zr (0.4426, 0.8037, 0.5211)
Zr (0.4789, 0.5574, 0.1963)
Zr (0.5211, 0.4426, 0.8037)
Zr (0.5574, 0.1963, 0.4789)
Zr (0.6182, 0.9364, 0.8587)
Zr (0.8037, 0.5211, 0.4426)
Zr (0.8587, 0.6182, 0.9364)
Zr (0.9364, 0.8587, 0.6182)
Sn (0.1263, 0.7456, 0.2724)
Sn (0.2544, 0.7276, 0.8737)
Sn (0.2724, 0.1263, 0.7456)
Sn (0.7276, 0.8737, 0.2544)
Sn (0.7456, 0.2724, 0.1263)
Sn (0.8737, 0.2544, 0.7276)

Computed properties:
* V: 426 Å³ per cell
* space group: R-3 (148)

***

| no. | E_form (eV per formula unit) | M_tot (μB per atom) |
| --- | --- | --- |
| 1 | -1.585 | 0.000 |
| 2 | 1.683 | 0.000 |
| 3 | -5.389 | 0.000 |